1.
Crystalline LiZn5Ag5 at its relaxed geometry. Source: the Alexandria database, functional PBE.

The structure in POSCAR format:
```
LiZn5Ag5
1.0
4.8474 0.0000 0.0000
-2.4237 4.1980 0.0000
0.0000 0.0000 9.2897
Ag Zn Li
5 5 1
direct
0.6667 0.3333 0.8354
0.3333 0.6667 0.6793
0.6667 0.3333 0.1646
0.3333 0.6667 0.3207
0.0000 0.0000 0.0000
0.0000 0.0000 0.2647
0.3390 0.1695 0.5000
0.8305 0.1695 0.5000
0.0000 0.0000 0.7353
0.8305 0.6610 0.5000
0.3333 0.6667 0.0000
```

Computed properties:
energy relative to the elements = 17.7 meV/atom
symmetry = P-6m2 (187)


2.
Crystalline CrAs2Pb at its relaxed geometry. Source: the Alexandria database, functional PBE.

The structure in POSCAR format:
```
CrAs2Pb
1.0
5.9913 -0.0061 -0.0041
2.7641 5.3156 0.0041
-3.5874 -3.9579 2.7131
Cr As Pb
1 2 1
direct
0.7500 0.2500 0.5000
0.5631 0.5631 0.0000
0.9369 0.9369 0.0000
0.2500 0.7500 0.5000
```

Computed properties:
energy relative to the elements = 289.7 meV/atom
symmetry = Immm (71)


3.
Crystalline LaHgSe2N at its relaxed geometry. Source: the Alexandria database, functional PBE.

The structure in POSCAR format:
```
LaHgSe2N
1.0
5.3228 0.0000 0.0000
0.0000 5.3228 0.0000
0.0000 0.0000 4.2389
N Se Hg La
1 2 1 1
direct
0.0000 0.0000 0.5000
0.5000 0.0000 0.0000
0.0000 0.5000 0.0000
0.0000 0.0000 0.0000
0.5000 0.5000 0.5000
```

Computed properties:
distance to the lowest polymorph of the same formula = 0.0 meV per atom
symmetry = P4/mmm (123)
ΔE_f (raw) = 0.07 eV/atom


| no. | magnetic moment (Bohr magnetons per cell) |
| --- | --- |
| 1 | 0.0 |
| 2 | 2.3 |
| 3 | 1.0 |